1.
# La2GePd2 (PBE, optimized geometry)
# ΔE_f in meV per atom: -645
# Crystal system: tetragonal
# ρ in Mg/m³: 7.56
data_La2GePd2
_cell_length_a 3.882
_cell_length_b 3.882
_cell_length_c 16.414
_cell_angle_alpha 90.00
_cell_angle_beta 90.00
_cell_angle_gamma 90.00
_symmetry_space_group_name_H-M 'I 4/m m m'
_symmetry_Int_Tables_number 139
_symmetry_space_group_name_Hall '-I 4 2'
loop_
_atom_site_label
_atom_site_type_symbol
_atom_site_fract_x
_atom_site_fract_y
_atom_site_fract_z
La1 La 0.000 0.000 0.109
Ge1 Ge 0.000 0.000 0.500
Pd1 Pd 0.000 0.500 0.250

2.
# SrErHgGe (PBE, optimized geometry)
# ΔE_f in meV per atom: -459
# Crystal system: cubic
# ρ in Mg/m³: 8.23
data_SrErHgGe
_cell_length_a 7.524
_cell_length_b 7.524
_cell_length_c 7.524
_cell_angle_alpha 90.00
_cell_angle_beta 90.00
_cell_angle_gamma 90.00
_symmetry_space_group_name_H-M 'F -4 3 m'
_symmetry_Int_Tables_number 216
_symmetry_space_group_name_Hall 'F -4 2 3'
loop_
_atom_site_label
_atom_site_type_symbol
_atom_site_fract_x
_atom_site_fract_y
_atom_site_fract_z
Sr1 Sr 0.000 0.000 0.000
Er1 Er 0.000 0.000 0.500
Hg1 Hg 0.250 0.250 0.750
Ge1 Ge 0.250 0.250 0.250

3.
# Cs2RbCu2F7 (PBE, optimized geometry)
# ΔE_f (raw) in eV per atom: -2.17
# Crystal system: monoclinic
# ρ in Mg/m³: 4.91
data_Cs2RbCu2F7
_cell_length_a 6.025
_cell_length_b 6.025
_cell_length_c 11.777
_cell_angle_alpha 90.00
_cell_angle_beta 104.77
_cell_angle_gamma 90.00
_symmetry_space_group_name_H-M 'C 1 2/m 1'
_symmetry_Int_Tables_number 12
_symmetry_space_group_name_Hall '-C 2y'
loop_
_atom_site_label
_atom_site_type_symbol
_atom_site_fract_x
_atom_site_fract_y
_atom_site_fract_z
Cs1 Cs 0.182 0.000 0.366
Rb1 Rb 0.000 0.000 0.000
Cu1 Cu 0.088 0.500 0.177
F1 F 0.000 0.500 0.000
F2 F 0.162 0.250 0.823
F3 F 0.175 0.500 0.352

4.
# PtAu2Se (PBE, optimized geometry)
# ΔE_f (raw) in eV per atom: 0.16
# Crystal system: tetragonal
# ρ in Mg/m³: 15.27
data_PtAu2Se
_cell_length_a 3.004
_cell_length_b 3.004
_cell_length_c 8.051
_cell_angle_alpha 90.00
_cell_angle_beta 90.00
_cell_angle_gamma 90.00
_symmetry_space_group_name_H-M 'P 4 m m'
_symmetry_Int_Tables_number 99
_symmetry_space_group_name_Hall 'P 4 -2'
loop_
_atom_site_label
_atom_site_type_symbol
_atom_site_fract_x
_atom_site_fract_y
_atom_site_fract_z
Pt1 Pt 0.000 0.000 0.000
Au1 Au 0.000 0.000 0.500
Au2 Au 0.500 0.500 0.751
Se1 Se 0.500 0.500 0.205

5.
# AcCe2Y (PBE, optimized geometry)
# ΔE_f in meV per atom: 300
# Crystal system: trigonal
# Excess energy over the best structure of this formula in the dataset in eV per atom: 0.146
# ρ in Mg/m³: 7.21
data_AcCe2Y
_cell_length_a 3.5330
_cell_length_b 3.5330
_cell_length_c 38.1014
_cell_angle_alpha 90.00
_cell_angle_beta 90.00
_cell_angle_gamma 120.00
_symmetry_space_group_name_H-M 'R -3 m'
_symmetry_Int_Tables_number 166
_symmetry_space_group_name_Hall '-R 3 2"'
loop_
_atom_site_label
_atom_site_type_symbol
_atom_site_fract_x
_atom_site_fract_y
_atom_site_fract_z
Ac1 Ac 0.0000 0.0000 0.0000
Ce1 Ce 0.0000 0.0000 0.0902
Y1 Y 0.0000 0.0000 0.5000

6.
# Rb3Tb2CdS6 (PBE, optimized geometry)
# ΔE_f (raw) in eV per atom: -1.38
# Crystal system: monoclinic
# ρ in Mg/m³: 4.39
data_Rb3Tb2CdS6
_cell_length_a 7.058
_cell_length_b 12.216
_cell_length_c 8.066
_cell_angle_alpha 90.00
_cell_angle_beta 106.88
_cell_angle_gamma 90.00
_symmetry_space_group_name_H-M 'C 1 2/m 1'
_symmetry_Int_Tables_number 12
_symmetry_space_group_name_Hall '-C 2y'
loop_
_atom_site_label
_atom_site_type_symbol
_atom_site_fract_x
_atom_site_fract_y
_atom_site_fract_z
Rb1 Rb 0.000 0.000 0.000
Rb2 Rb 0.000 0.336 0.000
Tb1 Tb 0.000 0.167 0.500
Cd1 Cd 0.000 0.500 0.500
S1 S 0.228 0.000 0.693
S2 S 0.233 0.332 0.694